--- P ---
Crystalline MnGeBr2 at its relaxed geometry, computed with PBE.

Cell and atoms, written as POSCAR:
```
MnGeBr2
1.0
7.711 0.000 0.000
0.000 7.711 0.000
3.856 3.856 3.332
Ge Mn Br
2 2 4
direct
0.000 0.000 0.000 Ge
0.750 0.250 0.500 Ge
0.500 0.500 0.000 Mn
0.250 0.750 0.500 Mn
0.587 0.125 0.250 Br
0.163 0.625 0.250 Br
0.375 0.413 0.750 Br
0.875 0.837 0.750 Br
```

Calculated values
spin magnetization = 4.9 μB/f.u.


--- Q ---
Crystalline MnGeBr2 at its relaxed geometry, computed with PBE.

Cell and atoms, written as POSCAR:
```
MnGeBr2
1.0
1.959 -2.929 3.517
1.351 1.936 4.384
-2.618 -1.057 4.101
Ge Mn Br
1 1 2
direct
0.500 0.500 0.500 Ge
0.000 0.000 0.000 Mn
0.250 0.250 0.250 Br
0.750 0.750 0.750 Br
```

Calculated values
spin magnetization = 3.8 μB/f.u.


Referenced to the most stable arrangement, the calculated values in kJ/mol of atoms are P 0.0; Q 14.3.